# Pm3Pr3Dy5 (PBE, optimized geometry)
# E_tot ... -3.93 eV per atom
# ΔH_f (0 K) ... 760 meV/atom
data_Pm3Pr3Dy5
_chemical_formula_sum 'Pm3 Pr3 Dy5'
_symmetry_space_group_name_H-M 'P 1'
_symmetry_Int_Tables_number 1
_cell_length_a 5.586
_cell_length_b 9.664
_cell_length_c 9.664
_cell_angle_alpha 120.00
_cell_angle_beta 90.00
_cell_angle_gamma 90.00
loop_
_symmetry_equiv_pos_as_xyz
'x,y,z'
loop_
_atom_site_label
_atom_site_type_symbol
_atom_site_fract_x
_atom_site_fract_y
_atom_site_fract_z
Pr1 Pr 0.500 0.000 0.366
Pr2 Pr 0.500 0.634 0.634
Pr3 Pr 0.500 0.366 0.000
Pm1 Pm 0.000 0.000 0.533
Pm2 Pm 0.000 0.467 0.467
Pm3 Pm 0.000 0.533 0.000
Dy1 Dy 0.500 0.333 0.667
Dy2 Dy 0.500 0.731 0.000
Dy3 Dy 0.500 0.000 0.731
Dy4 Dy 0.500 0.269 0.269
Dy5 Dy 0.500 0.667 0.333

# KPuB12 (PBE, optimized geometry)
# E_tot ... -7.08 eV per atom
# ΔH_f (0 K) ... -251 meV/atom
data_KPuB12
_chemical_formula_sum 'K1 Pu1 B12'
_symmetry_space_group_name_H-M 'P 1'
_symmetry_Int_Tables_number 1
_cell_length_a 5.883
_cell_length_b 5.883
_cell_length_c 5.883
_cell_angle_alpha 60.00
_cell_angle_beta 60.00
_cell_angle_gamma 60.00
loop_
_symmetry_equiv_pos_as_xyz
'x,y,z'
loop_
_atom_site_label
_atom_site_type_symbol
_atom_site_fract_x
_atom_site_fract_y
_atom_site_fract_z
B1 B 0.900 0.600 0.600
B2 B 0.400 0.400 0.100
B3 B 0.100 0.400 0.400
B4 B 0.600 0.900 0.900
B5 B 0.900 0.600 0.900
B6 B 0.400 0.100 0.400
B7 B 0.900 0.900 0.600
B8 B 0.400 0.100 0.100
B9 B 0.100 0.100 0.400
B10 B 0.600 0.600 0.900
B11 B 0.100 0.400 0.100
B12 B 0.600 0.900 0.600
Pu1 Pu 0.500 0.500 0.500
K1 K 0.000 0.000 0.000

# AlZn2Ga (PBE, optimized geometry)
# E_tot ... -2.23 eV per atom
# Polymorph energy (0 for the lowest one) ... 1.67 kcal/mol of atoms
# ΔH_f (0 K) ... 99 meV/atom
data_AlZn2Ga
_chemical_formula_sum 'Al2 Zn4 Ga2'
_symmetry_space_group_name_H-M 'P 1'
_symmetry_Int_Tables_number 1
_cell_length_a 3.965
_cell_length_b 3.965
_cell_length_c 9.410
_cell_angle_alpha 77.84
_cell_angle_beta 77.84
_cell_angle_gamma 90.00
loop_
_symmetry_equiv_pos_as_xyz
'x,y,z'
loop_
_atom_site_label
_atom_site_type_symbol
_atom_site_fract_x
_atom_site_fract_y
_atom_site_fract_z
Zn1 Zn 0.131 0.625 0.250
Zn2 Zn 0.375 0.381 0.750
Zn3 Zn 0.619 0.125 0.250
Zn4 Zn 0.875 0.869 0.750
Ga1 Ga 0.750 0.250 0.500
Ga2 Ga 0.000 0.000 0.000
Al1 Al 0.250 0.750 0.500
Al2 Al 0.500 0.500 0.000

# LiAcGe2Ir (PBE, optimized geometry)
# E_tot ... -5.46 eV per atom
# ΔH_f (0 K) ... -638 meV/atom
data_LiAcGe2Ir
_chemical_formula_sum 'Li1 Ac1 Ge2 Ir1'
_symmetry_space_group_name_H-M 'P 1'
_symmetry_Int_Tables_number 1
_cell_length_a 4.366
_cell_length_b 4.366
_cell_length_c 6.134
_cell_angle_alpha 110.85
_cell_angle_beta 110.85
_cell_angle_gamma 90.00
loop_
_symmetry_equiv_pos_as_xyz
'x,y,z'
loop_
_atom_site_label
_atom_site_type_symbol
_atom_site_fract_x
_atom_site_fract_y
_atom_site_fract_z
Ge1 Ge 0.370 0.370 0.739
Ge2 Ge 0.630 0.630 0.261
Ir1 Ir 0.750 0.250 0.500
Li1 Li 0.250 0.750 0.500
Ac1 Ac 0.000 0.000 0.000

# GdGePt (PBE, optimized geometry)
# E_tot ... -9.34 eV per atom
# ΔH_f (0 K) ... -1092 meV/atom
data_GdGePt
_chemical_formula_sum 'Gd1 Ge1 Pt1'
_symmetry_space_group_name_H-M 'P 1'
_symmetry_Int_Tables_number 1
_cell_length_a 3.581
_cell_length_b 4.445
_cell_length_c 4.445
_cell_angle_alpha 120.00
_cell_angle_beta 90.00
_cell_angle_gamma 90.00
loop_
_symmetry_equiv_pos_as_xyz
'x,y,z'
loop_
_atom_site_label
_atom_site_type_symbol
_atom_site_fract_x
_atom_site_fract_y
_atom_site_fract_z
Gd1 Gd 0.667 0.667 0.333
Ge1 Ge 0.167 0.333 0.667
Pt1 Pt 0.167 0.000 0.000

# Rb2InBi2 (PBE, optimized geometry)
# E_tot ... -2.73 eV per atom
# Polymorph energy (0 for the lowest one) ... 1.16 kcal/mol of atoms
# ΔH_f (0 K) ... -243 meV/atom
data_Rb2InBi2
_chemical_formula_sum 'Rb4 In2 Bi4'
_symmetry_space_group_name_H-M 'P 1'
_symmetry_Int_Tables_number 1
_cell_length_a 8.303
_cell_length_b 8.303
_cell_length_c 6.063
_cell_angle_alpha 90.00
_cell_angle_beta 90.00
_cell_angle_gamma 90.00
loop_
_symmetry_equiv_pos_as_xyz
'x,y,z'
loop_
_atom_site_label
_atom_site_type_symbol
_atom_site_fract_x
_atom_site_fract_y
_atom_site_fract_z
In1 In 0.500 0.500 0.000
In2 In 0.000 0.000 0.000
Bi1 Bi 0.634 0.134 0.000
Bi2 Bi 0.866 0.634 0.000
Bi3 Bi 0.366 0.866 0.000
Bi4 Bi 0.134 0.366 0.000
Rb1 Rb 0.831 0.331 0.500
Rb2 Rb 0.169 0.669 0.500
Rb3 Rb 0.331 0.169 0.500
Rb4 Rb 0.669 0.831 0.500

# CsNaTlHg2 (PBE, optimized geometry)
# E_tot ... -1.22 eV per atom
# Polymorph energy (0 for the lowest one) ... 0.00 kcal/mol of atoms
# ΔH_f (0 K) ... -188 meV/atom
data_CsNaTlHg2
_chemical_formula_sum 'Cs1 Na1 Tl1 Hg2'
_symmetry_space_group_name_H-M 'P 1'
_symmetry_Int_Tables_number 1
_cell_length_a 5.055
_cell_length_b 5.055
_cell_length_c 7.966
_cell_angle_alpha 108.50
_cell_angle_beta 108.50
_cell_angle_gamma 90.00
loop_
_symmetry_equiv_pos_as_xyz
'x,y,z'
loop_
_atom_site_label
_atom_site_type_symbol
_atom_site_fract_x
_atom_site_fract_y
_atom_site_fract_z
Tl1 Tl 0.250 0.750 0.500
Hg1 Hg 0.388 0.388 0.777
Hg2 Hg 0.612 0.612 0.223
Cs1 Cs 0.000 0.000 0.000
Na1 Na 0.750 0.250 0.500

# NdCu6Pt6 (PBE, optimized geometry)
# E_tot ... -5.39 eV per atom
# ΔH_f (0 K) ... -348 meV/atom
data_NdCu6Pt6
_chemical_formula_sum 'Nd1 Cu6 Pt6'
_symmetry_space_group_name_H-M 'P 1'
_symmetry_Int_Tables_number 1
_cell_length_a 5.022
_cell_length_b 6.733
_cell_length_c 6.733
_cell_angle_alpha 83.05
_cell_angle_beta 68.10
_cell_angle_gamma 68.10
loop_
_symmetry_equiv_pos_as_xyz
'x,y,z'
loop_
_atom_site_label
_atom_site_type_symbol
_atom_site_fract_x
_atom_site_fract_y
_atom_site_fract_z
Pt1 Pt 0.000 0.654 0.346
Pt2 Pt 0.655 0.345 0.345
Pt3 Pt 0.292 0.208 0.208
Pt4 Pt 0.000 0.346 0.654
Pt5 Pt 0.708 0.792 0.792
Pt6 Pt 0.345 0.655 0.655
Cu1 Cu 0.500 0.500 0.000
Cu2 Cu 0.500 0.000 0.500
Cu3 Cu 0.000 0.500 0.000
Cu4 Cu 0.500 0.230 0.770
Cu5 Cu 0.500 0.770 0.230
Cu6 Cu 0.000 0.000 0.500
Nd1 Nd 0.000 0.000 0.000

# Rb3RuCl8 (PBE, optimized geometry)
# E_tot ... -3.43 eV per atom
# Formation energy (no corrections) ... -1.182 eV/atom
# Polymorph energy (0 for the lowest one) ... 0.00 kcal/mol of atoms
data_Rb3RuCl8
_chemical_formula_sum 'Rb6 Ru2 Cl16'
_symmetry_space_group_name_H-M 'P 1'
_symmetry_Int_Tables_number 1
_cell_length_a 9.017
_cell_length_b 9.886
_cell_length_c 9.886
_cell_angle_alpha 120.00
_cell_angle_beta 90.00
_cell_angle_gamma 90.00
loop_
_symmetry_equiv_pos_as_xyz
'x,y,z'
loop_
_atom_site_label
_atom_site_type_symbol
_atom_site_fract_x
_atom_site_fract_y
_atom_site_fract_z
Cl1 Cl 0.799 0.778 0.557
Cl2 Cl 0.501 0.556 0.111
Cl3 Cl 0.152 0.667 0.333
Cl4 Cl 0.299 0.222 0.443
Cl5 Cl 0.459 0.000 0.000
Cl6 Cl 0.001 0.444 0.556
Cl7 Cl 0.501 0.889 0.444
Cl8 Cl 0.299 0.557 0.778
Cl9 Cl 0.799 0.778 0.222
Cl10 Cl 0.799 0.443 0.222
Cl11 Cl 0.959 0.000 0.000
Cl12 Cl 0.001 0.111 0.556
Cl13 Cl 0.652 0.333 0.667
Cl14 Cl 0.001 0.444 0.889
Cl15 Cl 0.501 0.556 0.444
Cl16 Cl 0.299 0.222 0.778
Rb1 Rb 0.204 0.848 0.152
Rb2 Rb 0.704 0.152 0.848
Rb3 Rb 0.704 0.152 0.304
Rb4 Rb 0.704 0.696 0.848
Rb5 Rb 0.204 0.848 0.696
Rb6 Rb 0.204 0.304 0.152
Ru1 Ru 0.149 0.333 0.667
Ru2 Ru 0.649 0.667 0.333

# BaRhNF2 (PBE, optimized geometry)
# E_tot ... -4.45 eV per atom
# Formation energy (no corrections) ... -0.182 eV/atom
# Polymorph energy (0 for the lowest one) ... 29.62 kcal/mol of atoms
data_BaRhNF2
_chemical_formula_sum 'Ba1 Rh1 N1 F2'
_symmetry_space_group_name_H-M 'P 1'
_symmetry_Int_Tables_number 1
_cell_length_a 4.892
_cell_length_b 4.892
_cell_length_c 5.700
_cell_angle_alpha 90.00
_cell_angle_beta 90.00
_cell_angle_gamma 90.00
loop_
_symmetry_equiv_pos_as_xyz
'x,y,z'
loop_
_atom_site_label
_atom_site_type_symbol
_atom_site_fract_x
_atom_site_fract_y
_atom_site_fract_z
F1 F 0.500 0.000 0.000
F2 F 0.000 0.500 0.000
Ba1 Ba 0.000 0.000 0.000
Rh1 Rh 0.500 0.500 0.500
N1 N 0.000 0.000 0.500

# AcZnGa4Cu2 (PBE, optimized geometry)
# E_tot ... -3.42 eV per atom
# ΔH_f (0 K) ... -205 meV/atom
data_AcZnGa4Cu2
_chemical_formula_sum 'Ac1 Zn1 Ga4 Cu2'
_symmetry_space_group_name_H-M 'P 1'
_symmetry_Int_Tables_number 1
_cell_length_a 4.338
_cell_length_b 4.338
_cell_length_c 9.630
_cell_angle_alpha 76.98
_cell_angle_beta 76.98
_cell_angle_gamma 60.00
loop_
_symmetry_equiv_pos_as_xyz
'x,y,z'
loop_
_atom_site_label
_atom_site_type_symbol
_atom_site_fract_x
_atom_site_fract_y
_atom_site_fract_z
Ga1 Ga 0.873 0.873 0.382
Ga2 Ga 0.594 0.594 0.218
Ga3 Ga 0.406 0.406 0.782
Ga4 Ga 0.127 0.127 0.618
Ac1 Ac 0.000 0.000 0.000
Cu1 Cu 0.234 0.234 0.297
Cu2 Cu 0.766 0.766 0.703
Zn1 Zn 0.500 0.500 0.500

# Fe (PBE, optimized geometry)
# E_tot ... -8.32 eV per atom
# Polymorph energy (0 for the lowest one) ... 3.25 kcal/mol of atoms
# ΔH_f (0 K) ... 141 meV/atom
data_Fe
_chemical_formula_sum 'Fe4'
_symmetry_space_group_name_H-M 'P 1'
_symmetry_Int_Tables_number 1
_cell_length_a 2.453
_cell_length_b 2.453
_cell_length_c 7.970
_cell_angle_alpha 90.00
_cell_angle_beta 90.00
_cell_angle_gamma 120.00
loop_
_symmetry_equiv_pos_as_xyz
'x,y,z'
loop_
_atom_site_label
_atom_site_type_symbol
_atom_site_fract_x
_atom_site_fract_y
_atom_site_fract_z
Fe1 Fe 0.333 0.667 0.250
Fe2 Fe 0.667 0.333 0.750
Fe3 Fe 0.000 0.000 0.500
Fe4 Fe 0.000 0.000 0.000

Which of these has the highest E_tot?
CsNaTlHg2

What is the E_tot in the first record?
-3.93 eV per atom